(1)
# Cu2MoAs | the Alexandria database | PBE-GGA | relaxed
data_Cu2MoAs
_cell_length_a 2.684
_cell_length_b 2.684
_cell_length_c 8.169
_cell_angle_alpha 90.00
_cell_angle_beta 90.00
_cell_angle_gamma 90.00
_symmetry_space_group_name_H-M 'P 4/m m m'
_symmetry_Int_Tables_number 123
_symmetry_space_group_name_Hall '-P 4 2'
loop_
_atom_site_label
_atom_site_type_symbol
_atom_site_fract_x
_atom_site_fract_y
_atom_site_fract_z
_atom_site_occupancy
Cu1 Cu 0.000 0.000 0.243 1
Mo1 Mo 0.500 0.500 0.000 1
As1 As 0.500 0.500 0.500 1
# total magnetic moment = 0.00 μB/atom
# total energy = -22.676 eV for the cell shown
# calculated formation energy = 0.25 eV/atom


(2)
# Cu2MoAs | the Alexandria database | PBE-GGA | relaxed
data_Cu2MoAs
_cell_length_a 9.293
_cell_length_b 2.824
_cell_length_c 4.777
_cell_angle_alpha 90.00
_cell_angle_beta 113.86
_cell_angle_gamma 90.00
_symmetry_space_group_name_H-M 'C 1 m 1'
_symmetry_Int_Tables_number 8
_symmetry_space_group_name_Hall 'C -2y'
loop_
_atom_site_label
_atom_site_type_symbol
_atom_site_fract_x
_atom_site_fract_y
_atom_site_fract_z
_atom_site_occupancy
Cu1 Cu 0.000 0.000 0.000 1
Cu2 Cu 0.246 0.500 0.079 1
Mo1 Mo 0.499 0.000 0.502 1
As1 As 0.243 0.000 0.564 1
# total magnetic moment = 0.00 μB/atom
# total energy = -45.964 eV for the cell shown
# calculated formation energy = 0.17 eV/atom


(3)
# CuMo2As | the Alexandria database | PBE-GGA | relaxed
data_CuMo2As
_cell_length_a 2.870
_cell_length_b 4.268
_cell_length_c 4.995
_cell_angle_alpha 90.00
_cell_angle_beta 102.94
_cell_angle_gamma 90.00
_symmetry_space_group_name_H-M 'P 1 m 1'
_symmetry_Int_Tables_number 6
_symmetry_space_group_name_Hall 'P -2y'
loop_
_atom_site_label
_atom_site_type_symbol
_atom_site_fract_x
_atom_site_fract_y
_atom_site_fract_z
_atom_site_occupancy
Cu1 Cu 0.000 0.000 0.000 1
Mo1 Mo 0.376 0.000 0.509 1
Mo2 Mo 0.593 0.500 0.231 1
As1 As 0.914 0.500 0.761 1
# total magnetic moment = 0.00 μB/atom
# total energy = -29.674 eV for the cell shown
# calculated formation energy = 0.18 eV/atom


(4)
# Cu2MoAs | the Alexandria database | PBE-GGA | relaxed
data_Cu2MoAs
_cell_length_a 3.193
_cell_length_b 3.193
_cell_length_c 5.565
_cell_angle_alpha 90.00
_cell_angle_beta 90.00
_cell_angle_gamma 90.00
_symmetry_space_group_name_H-M 'P 4 m m'
_symmetry_Int_Tables_number 99
_symmetry_space_group_name_Hall 'P 4 -2'
loop_
_atom_site_label
_atom_site_type_symbol
_atom_site_fract_x
_atom_site_fract_y
_atom_site_fract_z
_atom_site_occupancy
Cu1 Cu 0.000 0.000 0.000 1
Cu2 Cu 0.500 0.500 0.199 1
Mo1 Mo 0.000 0.000 0.490 1
As1 As 0.500 0.500 0.715 1
# total magnetic moment = 0.00 μB/atom
# total energy = -23.265 eV for the cell shown
# calculated formation energy = 0.10 eV/atom


(5)
# CuMo2As | the Alexandria database | PBE-GGA | relaxed
data_CuMo2As
_cell_length_a 9.504
_cell_length_b 3.239
_cell_length_c 4.391
_cell_angle_alpha 90.00
_cell_angle_beta 117.32
_cell_angle_gamma 90.00
_symmetry_space_group_name_H-M 'C 1 2/m 1'
_symmetry_Int_Tables_number 12
_symmetry_space_group_name_Hall '-C 2y'
loop_
_atom_site_label
_atom_site_type_symbol
_atom_site_fract_x
_atom_site_fract_y
_atom_site_fract_z
_atom_site_occupancy
Cu1 Cu 0.000 0.000 0.000 1
Mo1 Mo 0.236 0.000 0.736 1
As1 As 0.000 0.500 0.500 1
# total magnetic moment = 0.00 μB/atom
# total energy = -59.272 eV for the cell shown
# calculated formation energy = 0.19 eV/atom


(6)
# Cu2MoAs | the Alexandria database | PBE-GGA | relaxed
data_Cu2MoAs
_cell_length_a 3.397
_cell_length_b 3.397
_cell_length_c 5.036
_cell_angle_alpha 90.00
_cell_angle_beta 90.00
_cell_angle_gamma 90.00
_symmetry_space_group_name_H-M 'P 4/m m m'
_symmetry_Int_Tables_number 123
_symmetry_space_group_name_Hall '-P 4 2'
loop_
_atom_site_label
_atom_site_type_symbol
_atom_site_fract_x
_atom_site_fract_y
_atom_site_fract_z
_atom_site_occupancy
Cu1 Cu 0.000 0.000 0.245 1
Mo1 Mo 0.500 0.500 0.000 1
As1 As 0.500 0.500 0.500 1
# total magnetic moment = 0.00 μB/atom
# total energy = -22.598 eV for the cell shown
# calculated formation energy = 0.27 eV/atom


(7)
# Cu3MoAs | the Alexandria database | PBE-GGA | relaxed
data_Cu3MoAs
_cell_length_a 4.373
_cell_length_b 4.373
_cell_length_c 4.373
_cell_angle_alpha 90.00
_cell_angle_beta 90.00
_cell_angle_gamma 90.00
_symmetry_space_group_name_H-M 'P m -3 m'
_symmetry_Int_Tables_number 221
_symmetry_space_group_name_Hall '-P 4 2 3'
loop_
_atom_site_label
_atom_site_type_symbol
_atom_site_fract_x
_atom_site_fract_y
_atom_site_fract_z
_atom_site_occupancy
Cu1 Cu 0.000 0.000 0.500 1
Mo1 Mo 0.500 0.500 0.500 1
As1 As 0.000 0.000 0.000 1
# total magnetic moment = 0.00 μB/atom
# total energy = -22.504 eV for the cell shown
# relative energy among the computed polymorphs = 0 meV per atom
# calculated formation energy = 1.05 eV/atom


(8)
# Cu2MoAs | the Alexandria database | PBE-GGA | relaxed
data_Cu2MoAs
_cell_length_a 2.769
_cell_length_b 3.984
_cell_length_c 5.203
_cell_angle_alpha 90.00
_cell_angle_beta 90.00
_cell_angle_gamma 90.00
_symmetry_space_group_name_H-M 'P m m m'
_symmetry_Int_Tables_number 47
_symmetry_space_group_name_Hall '-P 2 2'
loop_
_atom_site_label
_atom_site_type_symbol
_atom_site_fract_x
_atom_site_fract_y
_atom_site_fract_z
_atom_site_occupancy
Cu1 Cu 0.000 0.000 0.241 1
Mo1 Mo 0.500 0.500 0.000 1
As1 As 0.500 0.500 0.500 1
# total magnetic moment = 0.00 μB/atom
# total energy = -22.657 eV for the cell shown
# calculated formation energy = 0.25 eV/atom


calculated formation energy of number 4 (Cu2MoAs)?
0.10 eV/atom


Look up the calculated formation energy of the sixth one.
0.27 eV/atom


calculated formation energy of number 3 (CuMo2As)?
0.18 eV/atom